[1]
# BeGa

Crystalline BeGa at its relaxed geometry (PBE-GGA, Alexandria).

a b c (Å): 2.4951 3.9145 3.9145
angles (deg): 45.82 90.00 90.00
Element x y z (fractional)
1 Be 0.0000 0.0000 0.0000
2 Ga 0.5000 0.7091 0.7091

For the formation energy, the calculation gives 0.256 eV per atom. The distance to the lowest polymorph of the same formula is 99 meV/atom. The calculation puts the magnetization at 0.00 Bohr magnetons per cell. Its total energy is -6.2 eV per cell. The calculation puts the calculated volume at 13.7 Å³ per atom.


[2]
# CaY2Si2

Crystalline CaY2Si2 at its relaxed geometry (PBE-GGA, Alexandria).

a b c (Å): 8.5465 8.5465 3.2843
angles (deg): 90.00 90.00 90.00
Element x y z (fractional)
1 Ca 0.0000 0.0000 0.0000
2 Ca 0.5000 0.5000 0.0000
3 Y 0.1300 0.3700 0.0000
4 Y 0.3700 0.8700 0.0000
5 Y 0.6300 0.1300 0.0000
6 Y 0.8700 0.6300 0.0000
7 Si 0.1695 0.6695 0.5000
8 Si 0.3305 0.1695 0.5000
9 Si 0.6695 0.8305 0.5000
10 Si 0.8305 0.3305 0.5000

The distance to the lowest polymorph of the same formula is 149 meV/atom. The calculation puts the magnetization at 0.00 Bohr magnetons per cell. For the formation energy from raw total energies, the calculation gives -185 kJ/mol of formula units. Its total energy is -55.4 eV per cell. The calculation puts the calculated volume at 24.0 Å³ per atom.


[3]
# CdGe2Pt4Rh

Crystalline CdGe2Pt4Rh at its relaxed geometry (PBE-GGA, Alexandria).

a b c (Å): 3.9610 3.9610 9.2278
angles (deg): 90.00 90.00 90.00
Element x y z (fractional)
1 Cd 0.0000 0.0000 0.0000
2 Ge 0.5000 0.5000 0.3724
3 Ge 0.5000 0.5000 0.6276
4 Pt 0.0000 0.5000 0.2189
5 Pt 0.0000 0.5000 0.7811
6 Pt 0.5000 0.0000 0.2189
7 Pt 0.5000 0.0000 0.7811
8 Rh 0.0000 0.0000 0.5000

For the formation energy, the calculation gives -0.080 eV per atom. The calculation puts the magnetization at 0.00 Bohr magnetons per cell. Its total energy is -42.3 eV per cell. The calculation puts the calculated volume at 18.1 Å³ per atom.